Entry 1:
Li2FeRe | PBE | relaxed

Geometry as POSCAR:
```
Li2FeRe
1.0
-0.636 -3.896 -0.793
-2.806 -1.077 -2.679
1.097 -1.536 -3.557
Re Li Fe
1 2 1
direct
0.500 0.500 0.500 Re
0.250 0.250 0.250 Li
0.750 0.750 0.750 Li
0.000 0.000 0.000 Fe
```

Output
Its electronic total energy is -5.197 eV per atom. For the formation enthalpy at 0 K, the calculation gives 988 meV/atom.

Entry 2:
LiFeRe2 | PBE | relaxed

Geometry as POSCAR:
```
LiFeRe2
1.0
9.128 -0.010 -0.006
8.735 2.649 -0.006
8.735 1.290 2.314
Fe Re Li
1 2 1
direct
0.250 0.250 0.250 Fe
0.993 0.993 0.993 Re
0.507 0.507 0.507 Re
0.750 0.750 0.750 Li
```

Output
Its electronic total energy is -8.584 eV per atom. For the formation enthalpy at 0 K, the calculation gives 235 meV/atom.

Entry 3:
Li2FeRe | PBE | relaxed

Geometry as POSCAR:
```
Li2FeRe
1.0
2.469 0.000 0.000
0.000 4.492 0.000
0.000 0.000 4.829
Fe Li Re
1 2 1
direct
0.500 0.500 0.750 Fe
0.000 0.000 0.002 Li
0.000 0.000 0.498 Li
0.500 0.500 0.250 Re
```

Output
Its electronic total energy is -5.795 eV per atom. For the formation enthalpy at 0 K, the calculation gives 390 meV/atom.